This record from the Alexandria database describes an optimized crystal structure of FeNiW2. The functional is GGA-PBEsol.

```
FeNiW2
1.0
-1.8754 1.8754 3.6573
1.8754 -1.8754 3.6573
1.8754 1.8754 -3.6573
Fe Ni W
1 1 2
Direct
0.0000 0.0000 0.0000 Fe
0.5000 0.5000 0.0000 Ni
0.2500 0.7500 0.5000 W
0.7500 0.2500 0.5000 W
```

Output
Raw total energy   -42.497 eV/cell
E above lowest polymorph   0 meV per atom
Energy relative to the elements   1.378 kcal/mol of atoms

***

This record from the Alexandria database describes an optimized crystal structure of CdTeOsN2. The functional is GGA-PBEsol.

```
CdTeOsN2
1.0
3.8711 0.0000 0.0000
0.0000 3.8711 0.0000
0.0000 0.0000 5.7217
Cd Te Os N
1 1 1 2
Direct
0.0000 0.0000 0.0000 Cd
0.5000 0.5000 0.0000 Te
0.5000 0.5000 0.5000 Os
0.0000 0.5000 0.5000 N
0.5000 0.0000 0.5000 N
```

Output
Raw total energy   -31.236 eV/cell